# GGA+U V4HgO8, optimized geometry
# * crystal system: triclinic
# * total energy: -92.9 eV per cell
# * M_tot: 4.3 μB/cell
# * volume: 159 Å³ per cell
data_V4HgO8
_space_group_name_H-M_alt 'P -1'
_space_group_IT_number 2
_cell_length_a 2.914
_cell_length_b 7.476
_cell_length_c 7.508
_cell_angle_alpha 88.63
_cell_angle_beta 80.22
_cell_angle_gamma 81.16
loop_
_space_group_symop_operation_xyz
'x,y,z'
'-x,-y,-z'
loop_
_atom_site_label
_atom_site_type_symbol
_atom_site_fract_x
_atom_site_fract_y
_atom_site_fract_z
V1 V 0.170 0.182 0.010
V2 V 0.327 0.511 0.318
Hg1 Hg 0.000 0.000 0.500
O1 O 0.017 0.625 0.796
O2 O 0.282 0.370 0.554
O3 O 0.324 0.946 0.870
O4 O 0.366 0.703 0.125